Record 1
Compound: NaLiTePt
Source: OQMD
Functional: PBE
Structure: relaxed

a b c (Å): 4.718 4.718 4.718
angles (deg): 60.00 60.00 60.00
Positions (direct):
Li 0.000 0.000 0.000
Na 0.750 0.750 0.750
Pt 0.500 0.500 0.500
Te 0.250 0.250 0.250

total moment	0.000	μB/cell
ΔE to the lowest computed polymorph	7	meV per atom

***

Record 2
Compound: SmHo2Te3
Source: OQMD
Functional: PBE
Structure: relaxed

a b c (Å): 4.357 4.357 10.745
angles (deg): 90.00 90.00 120.00
Positions (direct):
Ho 0.333 0.667 0.164
Ho 0.667 0.333 0.836
Sm 0.000 0.000 0.500
Te 0.000 0.000 0.000
Te 0.667 0.333 0.325
Te 0.333 0.667 0.675

energy	-5.175	eV per atom
total moment	0.000	μB/cell

***

Please write out number 2 again, unchanged.
Compound: SmHo2Te3
Source: OQMD
Functional: PBE
Structure: relaxed

a b c (Å): 4.357 4.357 10.745
angles (deg): 90.00 90.00 120.00
Positions (direct):
Ho 0.333 0.667 0.164
Ho 0.667 0.333 0.836
Sm 0.000 0.000 0.500
Te 0.000 0.000 0.000
Te 0.667 0.333 0.325
Te 0.333 0.667 0.675

energy	-5.175	eV per atom
total moment	0.000	μB/cell